(1)
Density functional theory data (GGA-PBE) for a geometry-optimized AcSm2Au structure.

It has space group P4/mmm (No. 123), with a = 3.754 Å, b = 3.754 Å, c = 8.948 Å, α = 90.00°, β = 90.00° and γ = 90.00°. The inequivalent atoms are Ac at (0.000, 0.000, 0.000), Sm at (0.500, 0.500, 0.305) and Au at (0.000, 0.000, 0.500).

The density is 9.5 g/cm3. As for the crystal system: tetragonal. The value obtained for the formation enthalpy at 0 K is -1.45 eV/f.u. The calculated total energy is -4.5685 eV per atom.

(2)
Density functional theory data (GGA-PBE) for a geometry-optimized AcSmAu2 structure.

It has space group Amm2 (No. 38), with a = 4.862 Å, b = 4.038 Å, c = 11.513 Å, α = 90.00°, β = 90.00° and γ = 90.00°. The inequivalent atoms are Ac at (0.000, 0.000, 0.000), Sm at (0.500, 0.000, 0.273), Au at (0.000, 0.000, 0.726) and Au at (0.500, 0.000, 0.552).

The density is 11.3 g/cm3. As for the crystal system: orthorhombic. The value obtained for the formation enthalpy at 0 K is -3.19 eV/f.u. The calculated total energy is -4.6432 eV per atom.

(3)
Density functional theory data (GGA-PBE) for a geometry-optimized AcSm2Au structure.

It has space group Fm-3m (No. 225), with a = 7.803 Å, b = 7.803 Å, c = 7.803 Å, α = 90.00°, β = 90.00° and γ = 90.00°. The inequivalent atoms are Ac at (0.000, 0.000, 0.000), Sm at (0.250, 0.250, 0.250) and Au at (0.000, 0.000, 0.500).

The density is 10.1 g/cm3. As for the crystal system: cubic. The value obtained for the formation enthalpy at 0 K is -0.11 eV/f.u. The calculated total energy is -4.2345 eV per atom.

(4)
Density functional theory data (GGA-PBE) for a geometry-optimized AcSmAu2 structure.

It has space group R3m (No. 160, hexagonal axes), with a = 4.3054 Å, b = 4.3054 Å, c = 22.9687 Å, α = 90.00°, β = 90.00° and γ = 120.00°. The inequivalent atoms are Ac at (0.0000, 0.0000, 0.0000), Sm at (0.0000, 0.0000, 0.1713), Au at (0.0000, 0.0000, 0.5794) and Au at (0.0000, 0.0000, 0.7589).

The density is 10.4 g/cm3. As for the crystal system: trigonal. The value obtained for the formation enthalpy at 0 K is -2.76 eV/f.u. The calculated total energy is -4.5359 eV per atom.

(5)
Density functional theory data (GGA-PBE) for a geometry-optimized Ac2SmAu5 structure.

It has space group I4/mmm (No. 139), with a = 5.351 Å, b = 5.351 Å, c = 14.499 Å, α = 90.00°, β = 90.00° and γ = 90.00°. The inequivalent atoms are Ac at (0.000, 0.000, 0.223), Sm at (0.000, 0.000, 0.500), Au at (0.000, 0.000, 0.000) and Au at (0.000, 0.500, 0.110).

The density is 12.7 g/cm3. As for the crystal system: tetragonal. The value obtained for the formation enthalpy at 0 K is -5.45 eV/f.u. The calculated total energy is -4.3470 eV per atom.

(6)
Density functional theory data (GGA-PBE) for a geometry-optimized AcSmAu2 structure.

It has space group Fm-3m (No. 225), with a = 7.606 Å, b = 7.606 Å, c = 7.606 Å, α = 90.00°, β = 90.00° and γ = 90.00°. The inequivalent atoms are Ac at (0.000, 0.000, 0.000), Sm at (0.000, 0.000, 0.500) and Au at (0.250, 0.250, 0.250).

The density is 11.6 g/cm3. As for the crystal system: cubic. The value obtained for the formation enthalpy at 0 K is -2.98 eV/f.u. The calculated total energy is -4.5908 eV per atom.

(7)
Density functional theory data (GGA-PBE) for a geometry-optimized AcSm2Au structure.

It has space group P4/mmm (No. 123), with a = 5.637 Å, b = 5.637 Å, c = 3.791 Å, α = 90.00°, β = 90.00° and γ = 90.00°. The inequivalent atoms are Ac at (0.000, 0.000, 0.000), Sm at (0.000, 0.500, 0.500) and Au at (0.500, 0.500, 0.000).

The density is 10.0 g/cm3. As for the crystal system: tetragonal. The value obtained for the formation enthalpy at 0 K is -0.45 eV/f.u. The calculated total energy is -4.3185 eV per atom.

(8)
Density functional theory data (GGA-PBE) for a geometry-optimized AcSmAu2 structure.

It has space group P4/mmm (No. 123), with a = 3.778 Å, b = 3.778 Å, c = 7.618 Å, α = 90.00°, β = 90.00° and γ = 90.00°. The inequivalent atoms are Ac at (0.000, 0.000, 0.000), Sm at (0.000, 0.000, 0.500) and Au at (0.500, 0.500, 0.279).

The density is 11.8 g/cm3. As for the crystal system: tetragonal. The value obtained for the formation enthalpy at 0 K is -3.11 eV/f.u. The calculated total energy is -4.6227 eV per atom.

(9)
Density functional theory data (GGA-PBE) for a geometry-optimized AcSm3Au2 structure.

It has space group Pmc2_1 (No. 26), with a = 5.106 Å, b = 9.264 Å, c = 7.552 Å, α = 90.00°, β = 90.00° and γ = 90.00°. The inequivalent atoms are Ac at (0.000, 0.077, 0.000), Sm at (0.000, 0.340, 0.637), Sm at (0.500, 0.176, 0.343), Sm at (0.500, 0.427, 0.976), Au at (0.000, 0.353, 0.245) and Au at (0.500, 0.158, 0.736).

The density is 10.0 g/cm3. As for the crystal system: orthorhombic. The value obtained for the formation enthalpy at 0 K is -3.30 eV/f.u. The calculated total energy is -4.6871 eV per atom.

(10)
Density functional theory data (GGA-PBE) for a geometry-optimized AcSm2Au2 structure.

It has space group P2_1/m (No. 11), with a = 5.391 Å, b = 5.106 Å, c = 11.185 Å, α = 90.00°, β = 94.87° and γ = 90.00°. The inequivalent atoms are Ac at (0.204, 0.250, 0.239), Sm at (0.250, 0.750, 0.495), Sm at (0.324, 0.250, 0.888), Au at (0.164, 0.750, 0.007) and Au at (0.272, 0.250, 0.626).

The density is 10.0 g/cm3. As for the crystal system: monoclinic. The value obtained for the formation enthalpy at 0 K is -3.14 eV/f.u. The calculated total energy is -4.6474 eV per atom.

(11)
Density functional theory data (GGA-PBE) for a geometry-optimized AcSmAu3 structure.

It has space group Cmcm (No. 63), with a = 3.913 Å, b = 28.621 Å, c = 4.708 Å, α = 90.00°, β = 90.00° and γ = 90.00°. The inequivalent atoms are Ac at (0.000, 0.074, 0.250), Sm at (0.000, 0.206, 0.750), Au at (0.000, 0.314, 0.750), Au at (0.000, 0.376, 0.250) and Au at (0.000, 0.474, 0.250).

The density is 12.2 g/cm3. As for the crystal system: orthorhombic. The value obtained for the formation enthalpy at 0 K is -4.16 eV/f.u. The calculated total energy is -4.5644 eV per atom.

(12)
Density functional theory data (GGA-PBE) for a geometry-optimized AcSm2Au structure.

It has space group R3m (No. 160, hexagonal axes), with a = 3.9897 Å, b = 3.9897 Å, c = 30.1565 Å, α = 90.00°, β = 90.00° and γ = 120.00°. The inequivalent atoms are Ac at (0.0000, 0.0000, 0.0000), Sm at (0.0000, 0.0000, 0.5620), Sm at (0.0000, 0.0000, 0.7683) and Au at (0.0000, 0.0000, 0.1645).

The density is 8.7 g/cm3. As for the crystal system: trigonal. The value obtained for the formation enthalpy at 0 K is -1.06 eV/f.u. The calculated total energy is -4.4717 eV per atom.